No. 1
Computed, not measured: an optimized crystal structure of Ca7Cd2Ag2 at the PBE level of DFT.

crystal system = orthorhombic
final energy = -0.0768 Ha/atom

a = 8.486 Å, b = 11.675 Å, c = 7.546 Å
α = 90.00°, β = 90.00°, γ = 90.00°
Space group Cmmm (No. 65)
Unique sites:
Ca (0.000, 0.000, 0.000)
Ca (0.000, 0.500, 0.254)
Ca (0.250, 0.250, 0.270)
Cd (0.173, 0.000, 0.500)
Ag (0.000, 0.289, 0.000)



No. 2
Computed, not measured: an optimized crystal structure of Ca2CdAg at the PBE level of DFT.

crystal system = tetragonal
final energy = -0.0786 Ha/atom

a = 4.565 Å, b = 4.565 Å, c = 10.463 Å
α = 90.00°, β = 90.00°, γ = 90.00°
Space group I-4m2 (No. 119)
Unique sites:
Ca (0.000, 0.000, 0.000)
Ca (0.000, 0.500, 0.250)
Cd (0.000, 0.500, 0.750)
Ag (0.000, 0.000, 0.500)



No. 3
Computed, not measured: an optimized crystal structure of CaCd12Ag6 at the PBE level of DFT.

crystal system = trigonal
final energy = -0.0590 Ha/atom

a = 12.6559 Å, b = 12.6559 Å, c = 9.4362 Å
α = 90.00°, β = 90.00°, γ = 120.00°
Space group R-3m (No. 166, hexagonal axes)
Unique sites:
Ca (0.0000, 0.0000, 0.0000)
Cd (0.0000, 0.3864, 0.5000)
Cd (0.0832, 0.1664, 0.2937)
Ag (0.0607, 0.5304, 0.2370)



No. 4
Computed, not measured: an optimized crystal structure of CaCd2Ag5 at the PBE level of DFT.

crystal system = orthorhombic
final energy = -0.0854 Ha/atom

a = 3.971 Å, b = 7.504 Å, c = 12.000 Å
α = 90.00°, β = 90.00°, γ = 90.00°
Space group Immm (No. 71)
Unique sites:
Ca (0.000, 0.000, 0.000)
Cd (0.000, 0.500, 0.248)
Ag (0.000, 0.201, 0.381)
Ag (0.000, 0.500, 0.000)



No. 5
Computed, not measured: an optimized crystal structure of CaCd6Ag12 at the PBE level of DFT.

crystal system = trigonal
final energy = -0.0790 Ha/atom

a = 12.2097 Å, b = 12.2097 Å, c = 9.6117 Å
α = 90.00°, β = 90.00°, γ = 120.00°
Space group R-3m (No. 166, hexagonal axes)
Unique sites:
Ca (0.0000, 0.0000, 0.0000)
Cd (0.0659, 0.5330, 0.2377)
Ag (0.0000, 0.3891, 0.5000)
Ag (0.0814, 0.1627, 0.2734)



No. 6
Computed, not measured: an optimized crystal structure of Ca3CdAg8 at the PBE level of DFT.

crystal system = trigonal
final energy = -0.0993 Ha/atom

a = 5.7037 Å, b = 5.7037 Å, c = 27.9465 Å
α = 90.00°, β = 90.00°, γ = 120.00°
Space group R3m (No. 160, hexagonal axes)
Unique sites:
Ca (0.0000, 0.0000, 0.0000)
Ca (0.0000, 0.0000, 0.1301)
Ca (0.0000, 0.0000, 0.6139)
Cd (0.0000, 0.0000, 0.4946)
Ag (0.0000, 0.0000, 0.3106)
Ag (0.0000, 0.0000, 0.8110)
Ag (0.0022, 0.5011, 0.5607)
Ag (0.1669, 0.3338, 0.3944)



Number 1: energy of formation -0.1318 eV per atom. Number 2: energy of formation -0.1952 eV per atom. Number 3: energy of formation -0.0219 eV per atom. Number 4: energy of formation -0.0641 eV per atom. Number 5: energy of formation 0.0448 eV per atom. Number 6: energy of formation -0.2255 eV per atom.